Record 1
DFT (PBE-GGA) results for a relaxed Dy2TmAl3CuSn2 crystal.

It has space group Amm2 (No. 38), with a = 4.265 Å, b = 12.566 Å, c = 7.290 Å, α = 90.00°, β = 90.00° and γ = 90.00°. The distinct sites, in fractional coordinates, are Dy at (0.000, 0.194, 0.000), Tm at (0.000, 0.000, 0.581), Al at (0.500, 0.000, 0.973), Al at (0.500, 0.112, 0.306), Cu at (0.000, 0.000, 0.199) and Sn at (0.500, 0.165, 0.694).

The calculation puts the total magnetization at 0.002 μB/f.u. As for the total energy: -41.5 eV/f.u.

=====

Record 2
DFT (PBE-GGA) results for a relaxed DyY2Al3CuSn2 crystal.

It has space group Amm2 (No. 38), with a = 4.280 Å, b = 12.654 Å, c = 7.309 Å, α = 90.00°, β = 90.00° and γ = 90.00°. The distinct sites, in fractional coordinates, are Dy at (0.000, 0.000, 0.000), Y at (0.000, 0.194, 0.419), Al at (0.500, 0.000, 0.390), Al at (0.500, 0.111, 0.724), Cu at (0.000, 0.000, 0.614) and Sn at (0.500, 0.166, 0.112).

The calculation puts the total magnetization at 0.001 μB/f.u. As for the total energy: -45.5 eV/f.u.

=====

Record 3
DFT (PBE-GGA) results for a relaxed Tb2DyAl7Cu2 crystal.

It has space group R-3m (No. 166, hexagonal axes), with a = 5.4948 Å, b = 5.4948 Å, c = 25.4351 Å, α = 90.00°, β = 90.00° and γ = 120.00°. The distinct sites, in fractional coordinates, are Tb at (0.0000, 0.0000, 0.1419), Dy at (0.0000, 0.0000, 0.0000), Al at (0.0000, 0.0000, 0.5000), Al at (0.0063, 0.5032, 0.9215) and Cu at (0.0000, 0.0000, 0.3354).

The calculation puts the total magnetization at 0.001 μB/f.u. As for the total energy: -53.4 eV/f.u.

=====

Record 4
DFT (PBE-GGA) results for a relaxed DyTm2Al3Cu3 crystal.

It has space group Amm2 (No. 38), with a = 3.988 Å, b = 12.064 Å, c = 6.965 Å, α = 90.00°, β = 90.00° and γ = 90.00°. The distinct sites, in fractional coordinates, are Dy at (0.000, 0.000, 0.000), Tm at (0.000, 0.207, 0.378), Al at (0.500, 0.000, 0.348), Al at (0.500, 0.119, 0.703), Cu at (0.000, 0.000, 0.582) and Cu at (0.500, 0.168, 0.086).

The calculation puts the total magnetization at 0.006 μB/f.u. As for the total energy: -40.1 eV/f.u.

=====

Record 5
DFT (PBE-GGA) results for a relaxed Dy2TmAl7Cu2 crystal.

It has space group R-3m (No. 166, hexagonal axes), with a = 5.4708 Å, b = 5.4708 Å, c = 25.3720 Å, α = 90.00°, β = 90.00° and γ = 120.00°. The distinct sites, in fractional coordinates, are Dy at (0.0000, 0.0000, 0.1419), Tm at (0.0000, 0.0000, 0.0000), Al at (0.0000, 0.0000, 0.5000), Al at (0.0060, 0.5030, 0.9215) and Cu at (0.0000, 0.0000, 0.3353).

The calculation puts the total magnetization at 0.001 μB/f.u. As for the total energy: -53.0 eV/f.u.

=====

Record 6
DFT (PBE-GGA) results for a relaxed DyYAl4Cu2 crystal.

It has space group Amm2 (No. 38), with a = 6.837 Å, b = 4.194 Å, c = 10.185 Å, α = 90.00°, β = 90.00° and γ = 90.00°. The distinct sites, in fractional coordinates, are Dy at (0.000, 0.000, 0.000), Y at (0.500, 0.000, 0.136), Al at (0.196, 0.000, 0.711), Al at (0.304, 0.000, 0.425), Cu at (0.000, 0.000, 0.283) and Cu at (0.500, 0.000, 0.853).

The calculation puts the total magnetization at 0.007 μB/f.u. As for the total energy: -37.0 eV/f.u.

=====

Record 7
DFT (PBE-GGA) results for a relaxed Dy2YAl7Cu2 crystal.

It has space group R-3m (No. 166, hexagonal axes), with a = 5.4842 Å, b = 5.4842 Å, c = 25.3918 Å, α = 90.00°, β = 90.00° and γ = 120.00°. The distinct sites, in fractional coordinates, are Dy at (0.0000, 0.0000, 0.1419), Y at (0.0000, 0.0000, 0.0000), Al at (0.0000, 0.0000, 0.5000), Al at (0.0062, 0.5031, 0.9213) and Cu at (0.0000, 0.0000, 0.3353).

The calculation puts the total magnetization at 0.001 μB/f.u. As for the total energy: -55.2 eV/f.u.

=====

Record 8
DFT (PBE-GGA) results for a relaxed ErAl6Cu6 crystal.

It has space group Immm (No. 71), with a = 5.050 Å, b = 8.558 Å, c = 8.684 Å, α = 90.00°, β = 90.00° and γ = 90.00°. The distinct sites, in fractional coordinates, are Er at (0.000, 0.000, 0.000), Al at (0.000, 0.000, 0.348), Al at (0.000, 0.346, 0.000), Al at (0.000, 0.500, 0.300), Cu at (0.000, 0.270, 0.500) and Cu at (0.250, 0.250, 0.250).

The calculation puts the total magnetization at 0.002 μB/f.u. As for the total energy: -53.9 eV/f.u.